Record 1
## Nd3Dy2Tm8 (PBE)

Data for Nd3Dy2Tm8 after structural relaxation.

a b c (Å): 5.581 7.673 10.705
angles (deg): 111.00 90.04 90.00
Fractional coordinates of all 13 atoms:
Dy  0.499  0.241  0.482
Dy  0.501  0.759  0.518
Tm  0.500  0.181  0.780
Tm  0.000  0.135  0.270
Tm  0.000  0.865  0.730
Tm  0.999  0.329  0.658
Tm  0.001  0.671  0.342
Tm  0.500  0.819  0.220
Tm  0.500  0.599  0.780
Tm  0.500  0.401  0.220
Nd  0.000  0.293  0.000
Nd  0.500  0.000  0.000
Nd  0.000  0.707  0.000

Results
formation enthalpy at 0 K	0.259	eV per atom
relative energy among the computed polymorphs	232	meV per atom

=====

Record 2
## NdDy7Tm3 (PBE)

Data for NdDy7Tm3 after structural relaxation.

a b c (Å): 8.854 9.828 5.525
angles (deg): 90.02 128.58 105.14
Fractional coordinates of all 11 atoms:
Tm  0.776  0.996  0.276
Tm  0.000  0.500  0.000
Tm  0.224  0.004  0.724
Dy  0.173  0.357  0.673
Dy  0.075  0.168  0.075
Dy  0.500  0.000  0.500
Dy  0.925  0.832  0.925
Dy  0.353  0.710  0.853
Dy  0.827  0.643  0.327
Dy  0.647  0.290  0.147
Nd  0.500  0.500  0.500

Results
formation enthalpy at 0 K	0.143	eV per atom
relative energy among the computed polymorphs	0	meV per atom

=====

Record 3
## Nd8Dy5Tm (PBE)

Data for Nd8Dy5Tm after structural relaxation.

a b c (Å): 8.596 8.662 8.594
angles (deg): 114.30 98.12 116.13
Fractional coordinates of all 14 atoms:
Dy  0.590  0.000  0.591
Dy  0.869  0.962  0.269
Dy  0.962  0.264  0.092
Dy  0.828  0.735  0.697
Dy  0.307  0.037  0.907
Nd  0.085  0.210  0.746
Nd  0.536  0.790  0.876
Nd  0.700  0.454  0.936
Nd  0.649  0.220  0.304
Nd  0.084  0.780  0.429
Nd  0.215  0.730  0.083
Nd  0.353  0.270  0.485
Nd  0.482  0.546  0.246
Tm  0.090  0.500  0.589

Results
formation enthalpy at 0 K	0.168	eV per atom

=====

Record 4
## Nd6Dy2Tm3 (PBE)

Data for Nd6Dy2Tm3 after structural relaxation.

a b c (Å): 4.748 4.748 17.297
angles (deg): 97.89 97.89 90.00
Fractional coordinates of all 11 atoms:
Tm  0.806  0.806  0.612
Tm  0.194  0.194  0.388
Tm  0.000  0.000  0.000
Nd  0.620  0.120  0.241
Nd  0.295  0.295  0.589
Nd  0.880  0.380  0.759
Nd  0.705  0.705  0.411
Nd  0.120  0.620  0.241
Nd  0.380  0.880  0.759
Dy  0.455  0.455  0.910
Dy  0.545  0.545  0.090

Results
formation enthalpy at 0 K	0.305	eV per atom
relative energy among the computed polymorphs	286	meV per atom

=====

Record 5
## Nd19Dy4Tm6 (PBE)

Data for Nd19Dy4Tm6 after structural relaxation.

a b c (Å): 10.986 10.986 10.986
angles (deg): 109.47 109.47 109.47
Fractional coordinates of all 29 atoms:
Nd  0.343  0.017  0.798
Nd  0.017  0.798  0.343
Nd  0.000  0.738  0.738
Nd  0.202  0.218  0.544
Nd  0.000  0.000  0.000
Nd  0.544  0.202  0.218
Nd  0.000  0.262  0.262
Nd  0.218  0.544  0.202
Nd  0.738  0.000  0.738
Nd  0.738  0.738  0.000
Nd  0.262  0.000  0.262
Nd  0.983  0.326  0.782
Nd  0.674  0.657  0.456
Nd  0.456  0.674  0.657
Nd  0.262  0.262  0.000
Nd  0.326  0.782  0.983
Nd  0.798  0.343  0.017
Nd  0.657  0.456  0.674
Nd  0.782  0.983  0.326
Tm  0.500  0.875  0.375
Tm  0.625  0.500  0.125
Tm  0.500  0.125  0.625
Tm  0.125  0.625  0.500
Tm  0.875  0.375  0.500
Tm  0.375  0.500  0.875
Dy  0.360  0.360  0.360
Dy  0.640  0.000  0.000
Dy  0.000  0.640  0.000
Dy  0.000  0.000  0.640

Results
formation enthalpy at 0 K	0.367	eV per atom

=====

Record 6
## NdDy3Tm (PBE)

Data for NdDy3Tm after structural relaxation.

a b c (Å): 4.951 9.968 8.204
angles (deg): 119.66 90.01 104.37
Fractional coordinates of all 10 atoms:
Dy  0.272  0.544  0.673
Dy  0.916  0.832  0.766
Dy  0.728  0.456  0.327
Dy  0.556  0.113  0.910
Dy  0.444  0.887  0.090
Dy  0.084  0.168  0.234
Tm  0.188  0.375  0.978
Tm  0.812  0.625  0.022
Nd  0.380  0.761  0.414
Nd  0.620  0.239  0.586

Results
formation enthalpy at 0 K	0.177	eV per atom
relative energy among the computed polymorphs	0	meV per atom